A plane-wave DFT calculation with PBE was carried out for a relaxed La8MgHg2 crystal.

ΔH_f (0 K) (meV/atom): -139
Excess energy over the best structure of this formula in the dataset (meV/atom): 0
Symmetry: No. 71
Crystal system: orthorhombic

Unit cell a=5.2609 b=8.9831 c=9.2825 alpha=118.92 beta=106.46 gamma=90.00
Last column: nearest neighbours and their distance in Å.
Sites, in units of the cell vectors:
1 La 0.3430 0.1225 0.6859  3 Hg 3.35, 1 Mg 3.48, 5 La 3.60-3.66
2 La 0.8573 0.8576 0.7147  2 Mg 3.42, 2 Hg 3.58, 8 La 3.64-3.70
3 La 0.6570 0.4366 0.3140  3 Hg 3.35-3.36, 1 Mg 3.48, 5 La 3.60-3.66
4 La 0.0001 0.3315 0.0001  1 La 3.03
5 La 0.1427 0.1424 0.2853  2 Mg 3.42, 2 Hg 3.58, 8 La 3.64-3.70
6 La 0.9999 0.6685 0.9999  1 La 3.03
7 La 0.6570 0.8775 0.3141  3 Hg 3.35, 1 Mg 3.48, 5 La 3.60-3.66
8 La 0.3430 0.5634 0.6860  3 Hg 3.35-3.36, 1 Mg 3.48, 5 La 3.60-3.66
9 Mg 0.5000 0.0000 0.0000  8 La 3.42-3.48
10 Hg 0.1989 0.6990 0.3979  10 La 3.35-3.58
11 Hg 0.8011 0.3010 0.6021  10 La 3.35-3.58

A plane-wave DFT calculation with PBE was carried out for a relaxed La2MgHg2 crystal.

ΔH_f (0 K) (meV/atom): -216
Excess energy over the best structure of this formula in the dataset (meV/atom): 187
Symmetry: No. 127
Crystal system: tetragonal

Unit cell a=9.2084 b=9.2084 c=3.6351 alpha=90.00 beta=90.00 gamma=90.00
Last column: nearest neighbours and their distance in Å.
Sites, in units of the cell vectors:
1 Hg 0.6313 0.8687 0.5000  6 La 3.22-3.29, 1 Hg 3.42
2 Hg 0.1313 0.6313 0.5000  6 La 3.22-3.29, 1 Hg 3.42
3 Hg 0.8687 0.3687 0.5000  6 La 3.22-3.29, 1 Hg 3.42
4 Hg 0.3687 0.1313 0.5000  6 La 3.22-3.29, 1 Hg 3.42
5 La 0.6649 0.1649 0.0000  6 Hg 3.22-3.29, 2 Mg 3.44
6 La 0.1649 0.3351 0.0000  6 Hg 3.22-3.29, 2 Mg 3.44
7 La 0.3351 0.8351 0.0000  6 Hg 3.22-3.29, 2 Mg 3.44
8 La 0.8351 0.6649 0.0000  6 Hg 3.22-3.29, 2 Mg 3.44
9 Mg 0.5000 0.5000 0.0000  4 La 3.44, 2 Mg 3.64
10 Mg 0.0000 0.0000 0.0000  4 La 3.44, 2 Mg 3.64

A plane-wave DFT calculation with PBE was carried out for a relaxed La8MgHg2 crystal.

ΔH_f (0 K) (meV/atom): -107
Excess energy over the best structure of this formula in the dataset (meV/atom): 32
Symmetry: No. 12
Crystal system: monoclinic

Unit cell a=5.8759 b=8.8679 c=8.8679 alpha=118.51 beta=101.02 gamma=101.02
Last column: nearest neighbours and their distance in Å.
Sites, in units of the cell vectors:
1 Hg 0.0000 0.3063 0.6937  8 La 3.16-3.44
2 Hg 0.0000 0.6937 0.3063  8 La 3.16-3.44
3 La 0.9151 0.6939 0.9118  2 Hg 3.24-3.44, 2 La 3.32-3.33
4 La 0.0849 0.0882 0.3061  2 Hg 3.24-3.44, 2 La 3.32-3.33
5 La 0.0849 0.3061 0.0882  2 Hg 3.24-3.44, 2 La 3.32-3.33
6 La 0.3031 0.5959 0.5959  2 La 3.33-3.37, 2 Hg 3.39, 1 Mg 3.41
7 La 0.6969 0.4041 0.4041  2 La 3.33-3.37, 2 Hg 3.39, 1 Mg 3.41
8 La 0.5000 0.2303 0.7697  2 Hg 3.16, 1 Mg 3.51
9 La 0.5000 0.7697 0.2303  2 Hg 3.16, 1 Mg 3.51
10 La 0.9151 0.9118 0.6939  2 Hg 3.24-3.44, 2 La 3.32-3.33
11 Mg 0.5000 0.0000 0.0000  8 La 3.41-3.63

A plane-wave DFT calculation with PBE was carried out for a relaxed LaMg2Hg crystal.

ΔH_f (0 K) (meV/atom): -222
Symmetry: No. 99
Crystal system: tetragonal

Unit cell a=3.6375 b=3.6375 c=7.8933 alpha=90.00 beta=90.00 gamma=90.00
Last column: nearest neighbours and their distance in Å.
Sites, in units of the cell vectors:
1 La 0.5000 0.5000 0.7365  4 Hg 3.36, 5 Mg 3.50-3.74, 4 La 3.64
2 Mg 0.5000 0.5000 0.2626  4 Hg 3.02, 4 Mg 3.13
3 Mg 0.0000 0.0000 0.0376  4 Mg 3.13, 1 Hg 3.36
4 Hg 0.0000 0.0000 0.4633  5 Mg 3.02-3.36, 4 La 3.36

A plane-wave DFT calculation with PBE was carried out for a relaxed La2Mg3Hg crystal.

ΔH_f (0 K) (meV/atom): -232
Symmetry: No. 25
Crystal system: orthorhombic

Unit cell a=3.5173 b=5.2377 c=9.0479 alpha=90.00 beta=90.00 gamma=90.00
Last column: nearest neighbours and their distance in Å.
Sites, in units of the cell vectors:
1 Mg 0.5000 0.0000 0.8312  3 Mg 3.01-3.03
2 Mg 0.5000 0.0000 0.1660  1 Mg 3.03, 2 Hg 3.04
3 Mg 0.5000 0.5000 0.6662  1 Hg 2.99, 2 Mg 3.01
4 La 0.0000 0.0000 0.4914  8 Mg 3.43-3.54, 4 Hg 3.45, 2 La 3.52
5 La 0.0000 0.5000 0.0092  2 Hg 3.44, 10 Mg 3.46-3.57, 2 La 3.52
6 Hg 0.5000 0.5000 0.3359  3 Mg 2.99-3.04

A plane-wave DFT calculation with PBE was carried out for a relaxed LaMg6Hg6 crystal.

ΔH_f (0 K) (meV/atom): -266
Symmetry: No. 71
Crystal system: orthorhombic

Unit cell a=6.1831 b=7.6449 c=7.6449 alpha=77.16 beta=66.15 gamma=66.15
Last column: nearest neighbours and their distance in Å.
Sites, in units of the cell vectors:
1 Mg 0.5000 0.0000 0.5000  6 Hg 2.95-3.11, 4 Mg 2.99-3.09
2 Mg 0.0000 0.5000 0.0000  6 Hg 2.95-3.11, 4 Mg 2.99-3.09
3 Mg 0.5000 0.2450 0.7550  6 Hg 2.93-3.22, 4 Mg 2.99
4 Mg 0.0000 0.0000 0.5000  6 Hg 2.95-3.11, 4 Mg 2.99-3.09
5 Mg 0.5000 0.5000 0.0000  6 Hg 2.95-3.11, 4 Mg 2.99-3.09
6 Mg 0.5000 0.7550 0.2450  6 Hg 2.93-3.22, 4 Mg 2.99
7 Hg 0.6725 0.8275 0.8275  6 Mg 2.93-2.95
8 Hg 0.6638 0.3362 0.3362  6 Mg 2.95-2.97
9 Hg 0.3275 0.1725 0.1725  6 Mg 2.93-2.95
10 Hg 0.3362 0.6638 0.6638  6 Mg 2.95-2.97
11 Hg 0.0000 0.3392 0.6608  1 Hg 3.07, 6 Mg 3.11-3.22, 1 La 3.23
12 Hg 0.0000 0.6608 0.3392  1 Hg 3.07, 6 Mg 3.11-3.22, 1 La 3.23
13 La 0.0000 0.0000 0.0000  8 Hg 3.23-3.56

A plane-wave DFT calculation with PBE was carried out for a relaxed LaMgHg2 crystal.

ΔH_f (0 K) (meV/atom): -432
Symmetry: No. 11
Crystal system: monoclinic

Unit cell a=6.7000 b=4.9897 c=6.7060 alpha=90.00 beta=111.54 gamma=90.00
Last column: nearest neighbours and their distance in Å.
Sites, in units of the cell vectors:
1 Hg 0.1237 0.7500 0.3298  3 Mg 3.04-3.09, 3 La 3.27, 2 Hg 3.39
2 Hg 0.6692 0.7500 0.8765  3 Mg 3.04-3.09, 3 La 3.27, 2 Hg 3.39
3 Hg 0.8763 0.2500 0.6702  3 Mg 3.04-3.09, 3 La 3.27, 2 Hg 3.39
4 Hg 0.3308 0.2500 0.1235  3 Mg 3.04-3.09, 3 La 3.27, 2 Hg 3.39
5 La 0.3547 0.2500 0.6445  8 Hg 3.27-3.44, 2 Mg 3.54
6 La 0.6453 0.7500 0.3555  8 Hg 3.27-3.44, 2 Mg 3.54
7 Mg 0.1290 0.7500 0.8712  6 Hg 3.04-3.09
8 Mg 0.8710 0.2500 0.1288  6 Hg 3.04-3.09

A plane-wave DFT calculation with PBE was carried out for a relaxed LaMgHg2 crystal.

ΔH_f (0 K) (meV/atom): -394
Symmetry: No. 10
Crystal system: monoclinic

Unit cell a=3.6254 b=3.5348 c=8.5910 alpha=65.80 beta=90.00 gamma=90.00
Last column: nearest neighbours and their distance in Å.
Sites, in units of the cell vectors:
1 Hg 0.0000 0.4697 0.5318  4 Mg 3.05-3.06, 4 La 3.36
2 Hg 0.0000 0.0303 0.9682  4 Mg 3.05-3.06, 4 La 3.36
3 La 0.5000 0.2500 0.2500  8 Hg 3.36, 4 La 3.53-3.63
4 Mg 0.5000 0.7500 0.7500  8 Hg 3.05-3.06

A plane-wave DFT calculation with PBE was carried out for a relaxed LaMg6Hg12 crystal.

ΔH_f (0 K) (meV/atom): -139
Excess energy over the best structure of this formula in the dataset (meV/atom): 50
Symmetry: No. 166
Crystal system: trigonal

Unit cell a=8.2466 b=8.2466 c=8.2466 alpha=106.58 beta=106.58 gamma=106.58
Last column: nearest neighbours and their distance in Å.
Sites, in units of the cell vectors:
1 Mg 0.2933 0.7053 0.2933  8 Hg 2.90-3.19
2 Mg 0.7067 0.7067 0.2947  8 Hg 2.90-3.19
3 Mg 0.7053 0.2933 0.2933  8 Hg 2.90-3.19
4 Mg 0.2947 0.7067 0.7067  8 Hg 2.90-3.19
5 Mg 0.2933 0.2933 0.7053  8 Hg 2.90-3.19
6 Mg 0.7067 0.2947 0.7067  8 Hg 2.90-3.19
7 Hg 0.1140 0.5000 0.8860  4 Mg 2.93-2.97, 3 Hg 3.02-3.12
8 Hg 0.6269 0.6269 0.8709  4 Mg 2.90-3.19, 4 Hg 3.12-3.23
9 Hg 0.1291 0.3731 0.3731  4 Mg 2.90-3.19, 4 Hg 3.12-3.23
10 Hg 0.6269 0.8709 0.6269  4 Mg 2.90-3.19, 4 Hg 3.12-3.23
11 Hg 0.3731 0.3731 0.1291  4 Mg 2.90-3.19, 4 Hg 3.12-3.23
12 Hg 0.8860 0.1140 0.5000  4 Mg 2.93-2.97, 3 Hg 3.02-3.12
13 Hg 0.1140 0.8860 0.5000  4 Mg 2.93-2.97, 3 Hg 3.02-3.12
14 Hg 0.8709 0.6269 0.6269  4 Mg 2.90-3.19, 4 Hg 3.12-3.23
15 Hg 0.8860 0.5000 0.1140  4 Mg 2.93-2.97, 3 Hg 3.02-3.12
16 Hg 0.5000 0.1140 0.8860  4 Mg 2.93-2.97, 3 Hg 3.02-3.12
17 Hg 0.3731 0.1291 0.3731  4 Mg 2.90-3.19, 4 Hg 3.12-3.23
18 Hg 0.5000 0.8860 0.1140  4 Mg 2.93-2.97, 3 Hg 3.02-3.12
19 La 0.0000 0.0000 0.0000  6 Hg 3.31

A plane-wave DFT calculation with PBE was carried out for a relaxed LaMg6Hg12 crystal.

ΔH_f (0 K) (meV/atom): -189
Excess energy over the best structure of this formula in the dataset (meV/atom): 0
Symmetry: No. 148
Crystal system: trigonal

Unit cell a=8.0105 b=8.4585 c=8.4585 alpha=69.48 beta=71.60 gamma=108.40
Last column: nearest neighbours and their distance in Å.
Sites, in units of the cell vectors:
1 Hg 0.6602 0.8661 0.8538  4 Mg 2.94-3.30, 4 Hg 3.02-3.17
2 Hg 0.3398 0.1339 0.1462  4 Mg 2.94-3.30, 4 Hg 3.02-3.17
3 Hg 0.2521 0.4570 0.6302  5 Mg 2.99-3.26, 2 Hg 3.02-3.08
4 Hg 0.4860 0.1462 0.7200  4 Mg 2.94-3.30, 4 Hg 3.02-3.17
5 Hg 0.1177 0.3698 0.0872  5 Mg 2.99-3.26, 2 Hg 3.02-3.08
6 Hg 0.7951 0.9128 0.4570  5 Mg 2.99-3.26, 2 Hg 3.02-3.08
7 Hg 0.2049 0.0872 0.5430  5 Mg 2.99-3.26, 2 Hg 3.02-3.08
8 Hg 0.7940 0.2800 0.8661  4 Mg 2.94-3.30, 4 Hg 3.02-3.17
9 Hg 0.7479 0.5430 0.3698  5 Mg 2.99-3.26, 2 Hg 3.02-3.08
10 Hg 0.2060 0.7200 0.1339  4 Mg 2.94-3.30, 4 Hg 3.02-3.17
11 Hg 0.8823 0.6302 0.9128  5 Mg 2.99-3.26, 2 Hg 3.02-3.08
12 Hg 0.5140 0.8538 0.2800  4 Mg 2.94-3.30, 4 Hg 3.02-3.17
13 Mg 0.6739 0.2198 0.2778  9 Hg 2.94-3.30
14 Mg 0.0484 0.7222 0.4976  9 Hg 2.94-3.30
15 Mg 0.3261 0.7802 0.7222  9 Hg 2.94-3.30
16 Mg 0.4541 0.5024 0.2198  9 Hg 2.94-3.30
17 Mg 0.5459 0.4976 0.7802  9 Hg 2.94-3.30
18 Mg 0.9516 0.2778 0.5024  9 Hg 2.94-3.30
19 La 0.0000 0.0000 0.0000  12 Hg 3.37-3.38

A plane-wave DFT calculation with PBE was carried out for a relaxed LaMgHg crystal.

ΔH_f (0 K) (meV/atom): -286
Symmetry: No. 107
Crystal system: tetragonal

Unit cell a=6.6749 b=6.6752 c=3.6350 alpha=74.20 beta=74.20 gamma=31.60
Last column: nearest neighbours and their distance in Å.
Sites, in units of the cell vectors:
1 La 0.3397 0.3397 0.6603  4 Hg 3.38, 5 Mg 3.54-3.73, 4 La 3.63
2 Hg 0.0177 0.0177 0.9823  4 Mg 3.00
3 Mg 0.6426 0.6426 0.3574  4 Hg 3.00

A plane-wave DFT calculation with PBE was carried out for a relaxed La6MgHg crystal.

ΔH_f (0 K) (meV/atom): -143
Excess energy over the best structure of this formula in the dataset (meV/atom): 0
Symmetry: No. 139
Crystal system: tetragonal

Unit cell a=5.3906 b=5.3906 c=9.9847 alpha=74.34 beta=74.34 gamma=90.00
Last column: nearest neighbours and their distance in Å.
Sites, in units of the cell vectors:
1 La 0.6125 0.1125 0.7750  2 Hg 3.40, 2 Mg 3.40, 4 La 3.69-3.72
2 La 0.3875 0.8875 0.2250  2 Hg 3.40, 2 Mg 3.40, 4 La 3.69-3.72
3 La 0.8875 0.3875 0.2250  2 Mg 3.40, 2 Hg 3.40, 4 La 3.69-3.72
4 La 0.1125 0.6125 0.7750  2 Mg 3.40, 2 Hg 3.40, 4 La 3.69-3.72
5 La 0.2512 0.2512 0.4976  12 La 3.69-3.81
6 La 0.7488 0.7488 0.5024  12 La 3.69-3.81
7 Mg 0.5000 0.5000 0.0000  8 La 3.40
8 Hg 0.0000 0.0000 0.0000  8 La 3.40